w) VASP calculation (PBE-GGA) on a relaxed AcPm2Pr6 crystal.

Results
Space-group type: No. 65
Spin magnetization (Bohr magnetons per cell): 0.00
Mass density (Mg/m³): 6.886
DOS at the Fermi energy (states/eV per atom): 1.4424

CIF file:
```
data_AcPm2Pr6
_chemical_formula_sum 'Ac1 Pm2 Pr6'
_symmetry_space_group_name_H-M 'P 1'
_symmetry_Int_Tables_number 1
_cell_length_a 10.203
_cell_length_b 10.203
_cell_length_c 3.651
_cell_angle_alpha 90.00
_cell_angle_beta 90.00
_cell_angle_gamma 120.17
loop_
_symmetry_equiv_pos_as_xyz
'x,y,z'
loop_
_atom_site_label
_atom_site_fract_x
_atom_site_fract_y
_atom_site_fract_z
_atom_site_occupancy
Ac1 0.000 0.000 0.000 1
Pm1 0.333 0.667 0.000 1
Pm2 0.667 0.333 0.000 1
Pr1 0.001 0.337 0.500 1
Pr2 0.336 0.336 0.500 1
Pr3 0.337 0.001 0.500 1
Pr4 0.663 0.999 0.500 1
Pr5 0.664 0.664 0.500 1
Pr6 0.999 0.663 0.500 1
```

x) VASP calculation (PBE-GGA) on a relaxed AcPm2Pr6 crystal.

Results
Space-group type: No. 136
Spin magnetization (Bohr magnetons per cell): 0.00
Mass density (Mg/m³): 5.919
DOS at the Fermi energy (states/eV per atom): 1.7775

CIF file:
```
data_AcPm2Pr6
_chemical_formula_sum 'Ac2 Pm4 Pr12'
_symmetry_space_group_name_H-M 'P 1'
_symmetry_Int_Tables_number 1
_cell_length_a 6.447
_cell_length_b 6.447
_cell_length_c 18.394
_cell_angle_alpha 90.00
_cell_angle_beta 90.00
_cell_angle_gamma 90.00
loop_
_symmetry_equiv_pos_as_xyz
'x,y,z'
loop_
_atom_site_label
_atom_site_fract_x
_atom_site_fract_y
_atom_site_fract_z
_atom_site_occupancy
Ac1 0.000 0.000 0.000 1
Ac2 0.500 0.500 0.500 1
Pm1 0.000 0.000 0.341 1
Pm2 0.000 0.000 0.659 1
Pm3 0.500 0.500 0.159 1
Pm4 0.500 0.500 0.841 1
Pr1 0.166 0.166 0.500 1
Pr2 0.176 0.176 0.176 1
Pr3 0.176 0.176 0.824 1
Pr4 0.324 0.676 0.324 1
Pr5 0.324 0.676 0.676 1
Pr6 0.334 0.666 0.000 1
Pr7 0.666 0.334 0.000 1
Pr8 0.676 0.324 0.324 1
Pr9 0.676 0.324 0.676 1
Pr10 0.824 0.824 0.176 1
Pr11 0.824 0.824 0.824 1
Pr12 0.834 0.834 0.500 1
```

Which structure is the most stable? The one labeled w).

w) VASP calculation (PBE-GGA) on a relaxed Ac2Pm3Pr crystal.

Results
Space-group type: No. 12
Spin magnetization (Bohr magnetons per cell): 0.00
Mass density (Mg/m³): 7.275
DOS at the Fermi energy (states/eV per atom): 2.1565

CIF file:
```
data_Ac2Pm3Pr
_chemical_formula_sum 'Ac4 Pm6 Pr2'
_symmetry_space_group_name_H-M 'P 1'
_symmetry_Int_Tables_number 1
_cell_length_a 10.620
_cell_length_b 10.620
_cell_length_c 12.467
_cell_angle_alpha 92.93
_cell_angle_beta 92.93
_cell_angle_gamma 19.56
loop_
_symmetry_equiv_pos_as_xyz
'x,y,z'
loop_
_atom_site_label
_atom_site_fract_x
_atom_site_fract_y
_atom_site_fract_z
_atom_site_occupancy
Ac1 0.125 0.125 0.126 1
Ac2 0.373 0.373 0.372 1
Ac3 0.627 0.627 0.628 1
Ac4 0.875 0.875 0.874 1
Pm1 0.049 0.049 0.856 1
Pm2 0.202 0.202 0.397 1
Pm3 0.298 0.298 0.103 1
Pm4 0.702 0.702 0.897 1
Pm5 0.798 0.798 0.603 1
Pm6 0.951 0.951 0.144 1
Pr1 0.452 0.452 0.644 1
Pr2 0.548 0.548 0.356 1
```

x) VASP calculation (PBE-GGA) on a relaxed Ac2Pm3Pr crystal.

Results
Space-group type: No. 58
Spin magnetization (Bohr magnetons per cell): 0.00
Mass density (Mg/m³): 7.514
DOS at the Fermi energy (states/eV per atom): 1.4764

CIF file:
```
data_Ac2Pm3Pr
_chemical_formula_sum 'Ac4 Pm6 Pr2'
_symmetry_space_group_name_H-M 'P 1'
_symmetry_Int_Tables_number 1
_cell_length_a 7.298
_cell_length_b 10.368
_cell_length_c 6.016
_cell_angle_alpha 90.00
_cell_angle_beta 90.00
_cell_angle_gamma 90.00
loop_
_symmetry_equiv_pos_as_xyz
'x,y,z'
loop_
_atom_site_label
_atom_site_fract_x
_atom_site_fract_y
_atom_site_fract_z
_atom_site_occupancy
Ac1 0.249 0.166 0.000 1
Ac2 0.251 0.666 0.500 1
Ac3 0.749 0.334 0.500 1
Ac4 0.751 0.834 0.000 1
Pm1 0.000 0.000 0.500 1
Pm2 0.250 0.332 0.500 1
Pm3 0.250 0.832 0.000 1
Pm4 0.500 0.500 0.000 1
Pm5 0.750 0.168 0.000 1
Pm6 0.750 0.668 0.500 1
Pr1 0.000 0.500 0.000 1
Pr2 0.500 0.000 0.500 1
```

Which structure is the most stable? The one labeled x).

w) VASP calculation (PBE-GGA) on a relaxed Ac2Pm5Pr4 crystal.

Results
Space-group type: No. 12
Spin magnetization (Bohr magnetons per cell): 0.00
Mass density (Mg/m³): 7.121
DOS at the Fermi energy (states/eV per atom): 1.2696

CIF file:
```
data_Ac2Pm5Pr4
_chemical_formula_sum 'Ac2 Pm5 Pr4'
_symmetry_space_group_name_H-M 'P 1'
_symmetry_Int_Tables_number 1
_cell_length_a 7.431
_cell_length_b 7.431
_cell_length_c 10.949
_cell_angle_alpha 121.34
_cell_angle_beta 121.34
_cell_angle_gamma 56.36
loop_
_symmetry_equiv_pos_as_xyz
'x,y,z'
loop_
_atom_site_label
_atom_site_fract_x
_atom_site_fract_y
_atom_site_fract_z
_atom_site_occupancy
Ac1 0.067 0.067 0.241 1
Ac2 0.933 0.933 0.759 1
Pm1 0.081 0.608 0.333 1
Pm2 0.392 0.919 0.667 1
Pm3 0.500 0.500 0.000 1
Pm4 0.608 0.081 0.333 1
Pm5 0.919 0.392 0.667 1
Pr1 0.261 0.261 0.030 1
Pr2 0.387 0.387 0.625 1
Pr3 0.613 0.613 0.375 1
Pr4 0.739 0.739 0.970 1
```

x) VASP calculation (PBE-GGA) on a relaxed Ac2Pm5Pr4 crystal.

Results
Space-group type: No. 12
Spin magnetization (Bohr magnetons per cell): 0.00
Mass density (Mg/m³): 6.995
DOS at the Fermi energy (states/eV per atom): 1.4818

CIF file:
```
data_Ac2Pm5Pr4
_chemical_formula_sum 'Ac2 Pm5 Pr4'
_symmetry_space_group_name_H-M 'P 1'
_symmetry_Int_Tables_number 1
_cell_length_a 12.738
_cell_length_b 12.738
_cell_length_c 9.563
_cell_angle_alpha 111.73
_cell_angle_beta 111.73
_cell_angle_gamma 16.71
loop_
_symmetry_equiv_pos_as_xyz
'x,y,z'
loop_
_atom_site_label
_atom_site_fract_x
_atom_site_fract_y
_atom_site_fract_z
_atom_site_occupancy
Ac1 0.113 0.113 0.427 1
Ac2 0.887 0.887 0.573 1
Pm1 0.130 0.130 0.071 1
Pm2 0.268 0.268 0.665 1
Pm3 0.500 0.500 0.000 1
Pm4 0.732 0.732 0.335 1
Pm5 0.870 0.870 0.929 1
Pr1 0.043 0.043 0.710 1
Pr2 0.316 0.316 0.164 1
Pr3 0.684 0.684 0.836 1
Pr4 0.957 0.957 0.290 1
```

Which structure is the most stable? The one labeled x).

w) VASP calculation (PBE-GGA) on a relaxed Ac2Pm3Pr4 crystal.

Results
Space-group type: No. 14
Spin magnetization (Bohr magnetons per cell): 0.00
Mass density (Mg/m³): 7.091
DOS at the Fermi energy (states/eV per atom): 1.4302

CIF file:
```
data_Ac2Pm3Pr4
_chemical_formula_sum 'Ac4 Pm6 Pr8'
_symmetry_space_group_name_H-M 'P 1'
_symmetry_Int_Tables_number 1
_cell_length_a 8.917
_cell_length_b 8.960
_cell_length_c 9.146
_cell_angle_alpha 90.00
_cell_angle_beta 111.40
_cell_angle_gamma 90.00
loop_
_symmetry_equiv_pos_as_xyz
'x,y,z'
loop_
_atom_site_label
_atom_site_fract_x
_atom_site_fract_y
_atom_site_fract_z
_atom_site_occupancy
Ac1 0.175 0.152 0.048 1
Ac2 0.175 0.348 0.548 1
Ac3 0.825 0.652 0.452 1
Ac4 0.825 0.848 0.952 1
Pm1 0.248 0.674 0.252 1
Pm2 0.248 0.826 0.752 1
Pm3 0.500 0.000 0.500 1
Pm4 0.500 0.500 0.000 1
Pm5 0.752 0.174 0.248 1
Pm6 0.752 0.326 0.748 1
Pr1 0.084 0.537 0.867 1
Pr2 0.084 0.963 0.367 1
Pr3 0.482 0.137 0.854 1
Pr4 0.482 0.363 0.354 1
Pr5 0.518 0.637 0.646 1
Pr6 0.518 0.863 0.146 1
Pr7 0.916 0.037 0.633 1
Pr8 0.916 0.463 0.133 1
```

x) VASP calculation (PBE-GGA) on a relaxed Ac2Pm3Pr4 crystal.

Results
Space-group type: No. 156
Spin magnetization (Bohr magnetons per cell): 0.00
Mass density (Mg/m³): 7.036
DOS at the Fermi energy (states/eV per atom): 1.8952

CIF file:
```
data_Ac2Pm3Pr4
_chemical_formula_sum 'Ac2 Pm3 Pr4'
_symmetry_space_group_name_H-M 'P 1'
_symmetry_Int_Tables_number 1
_cell_length_a 3.764
_cell_length_b 3.764
_cell_length_c 27.937
_cell_angle_alpha 90.00
_cell_angle_beta 90.00
_cell_angle_gamma 120.00
loop_
_symmetry_equiv_pos_as_xyz
'x,y,z'
loop_
_atom_site_label
_atom_site_fract_x
_atom_site_fract_y
_atom_site_fract_z
_atom_site_occupancy
Ac1 0.000 0.000 0.000 1
Ac2 0.000 0.000 0.223 1
Pm1 0.000 0.000 0.780 1
Pm2 0.333 0.667 0.113 1
Pm3 0.333 0.667 0.457 1
Pr1 0.000 0.000 0.354 1
Pr2 0.000 0.000 0.566 1
Pr3 0.333 0.667 0.673 1
Pr4 0.333 0.667 0.886 1
```

Which structure is the most stable? The one labeled x).

w) VASP calculation (PBE-GGA) on a relaxed Ac3Pm2Pr crystal.

Results
Space-group type: No. 71
Spin magnetization (Bohr magnetons per cell): 0.14
Mass density (Mg/m³): 7.540
DOS at the Fermi energy (states/eV per atom): 1.8939

CIF file:
```
data_Ac3Pm2Pr
_chemical_formula_sum 'Ac6 Pm4 Pr2'
_symmetry_space_group_name_H-M 'P 1'
_symmetry_Int_Tables_number 1
_cell_length_a 3.703
_cell_length_b 6.384
_cell_length_c 20.718
_cell_angle_alpha 90.00
_cell_angle_beta 90.00
_cell_angle_gamma 90.00
loop_
_symmetry_equiv_pos_as_xyz
'x,y,z'
loop_
_atom_site_label
_atom_site_fract_x
_atom_site_fract_y
_atom_site_fract_z
_atom_site_occupancy
Ac1 0.000 0.000 0.000 1
Ac2 0.000 0.500 0.188 1
Ac3 0.000 0.500 0.812 1
Ac4 0.500 0.000 0.312 1
Ac5 0.500 0.000 0.688 1
Ac6 0.500 0.500 0.500 1
Pm1 0.000 0.500 0.361 1
Pm2 0.000 0.500 0.639 1
Pm3 0.500 0.000 0.139 1
Pm4 0.500 0.000 0.861 1
Pr1 0.000 0.500 0.000 1
Pr2 0.500 0.000 0.500 1
```

x) VASP calculation (PBE-GGA) on a relaxed Ac3Pm2Pr crystal.

Results
Space-group type: No. 15
Spin magnetization (Bohr magnetons per cell): 0.00
Mass density (Mg/m³): 7.706
DOS at the Fermi energy (states/eV per atom): 1.3938

CIF file:
```
data_Ac3Pm2Pr
_chemical_formula_sum 'Ac6 Pm4 Pr2'
_symmetry_space_group_name_H-M 'P 1'
_symmetry_Int_Tables_number 1
_cell_length_a 7.210
_cell_length_b 7.210
_cell_length_c 9.463
_cell_angle_alpha 97.65
_cell_angle_beta 97.65
_cell_angle_gamma 96.27
loop_
_symmetry_equiv_pos_as_xyz
'x,y,z'
loop_
_atom_site_label
_atom_site_fract_x
_atom_site_fract_y
_atom_site_fract_z
_atom_site_occupancy
Ac1 0.056 0.944 0.750 1
Ac2 0.204 0.367 0.023 1
Ac3 0.367 0.204 0.523 1
Ac4 0.633 0.796 0.477 1
Ac5 0.796 0.633 0.977 1
Ac6 0.944 0.056 0.250 1
Pm1 0.116 0.619 0.381 1
Pm2 0.381 0.884 0.119 1
Pm3 0.619 0.116 0.881 1
Pm4 0.884 0.381 0.619 1
Pr1 0.379 0.621 0.750 1
Pr2 0.621 0.379 0.250 1
```

Which structure is the most stable? The one labeled x).

w) VASP calculation (PBE-GGA) on a relaxed Ac2Pm4Pr crystal.

Results
Space-group type: No. 122
Spin magnetization (Bohr magnetons per cell): 0.00
Mass density (Mg/m³): 7.225
DOS at the Fermi energy (states/eV per atom): 1.6690

CIF file:
```
data_Ac2Pm4Pr
_chemical_formula_sum 'Ac4 Pm8 Pr2'
_symmetry_space_group_name_H-M 'P 1'
_symmetry_Int_Tables_number 1
_cell_length_a 8.886
_cell_length_b 8.886
_cell_length_c 8.886
_cell_angle_alpha 109.58
_cell_angle_beta 109.58
_cell_angle_gamma 109.25
loop_
_symmetry_equiv_pos_as_xyz
'x,y,z'
loop_
_atom_site_label
_atom_site_fract_x
_atom_site_fract_y
_atom_site_fract_z
_atom_site_occupancy
Ac1 0.375 0.010 0.135 1
Ac2 0.760 0.625 0.635 1
Ac3 0.875 0.240 0.865 1
Ac4 0.990 0.125 0.365 1
Pm1 0.135 0.038 0.744 1
Pm2 0.142 0.545 0.756 1
Pm3 0.295 0.392 0.256 1
Pm4 0.455 0.212 0.597 1
Pm5 0.608 0.865 0.903 1
Pm6 0.615 0.858 0.403 1
Pm7 0.788 0.385 0.244 1
Pm8 0.962 0.705 0.097 1
Pr1 0.250 0.750 0.500 1
Pr2 0.500 0.500 0.000 1
```

x) VASP calculation (PBE-GGA) on a relaxed Ac2Pm4Pr crystal.

Results
Space-group type: No. 139
Spin magnetization (Bohr magnetons per cell): 0.00
Mass density (Mg/m³): 6.422
DOS at the Fermi energy (states/eV per atom): 1.7736

CIF file:
```
data_Ac2Pm4Pr
_chemical_formula_sum 'Ac4 Pm8 Pr2'
_symmetry_space_group_name_H-M 'P 1'
_symmetry_Int_Tables_number 1
_cell_length_a 5.772
_cell_length_b 5.772
_cell_length_c 18.237
_cell_angle_alpha 90.00
_cell_angle_beta 90.00
_cell_angle_gamma 90.00
loop_
_symmetry_equiv_pos_as_xyz
'x,y,z'
loop_
_atom_site_label
_atom_site_fract_x
_atom_site_fract_y
_atom_site_fract_z
_atom_site_occupancy
Ac1 0.000 0.000 0.128 1
Ac2 0.000 0.000 0.872 1
Ac3 0.500 0.500 0.372 1
Ac4 0.500 0.500 0.628 1
Pm1 0.000 0.000 0.328 1
Pm2 0.000 0.000 0.672 1
Pm3 0.000 0.500 0.000 1
Pm4 0.000 0.500 0.500 1
Pm5 0.500 0.000 0.000 1
Pm6 0.500 0.000 0.500 1
Pm7 0.500 0.500 0.172 1
Pm8 0.500 0.500 0.828 1
Pr1 0.000 0.000 0.500 1
Pr2 0.500 0.500 0.000 1
```

Which structure is the most stable? The one labeled w).